CrAgAsN2: optimized geometry, PBE-GGA.

```
CrAgAsN2
1.0
3.867 0.000 0.000
0.000 3.867 0.000
0.000 0.000 4.714
Cr Ag As N
1 1 1 2
Cartesian
0.000 0.000 0.000
1.934 1.934 0.000
0.000 0.000 2.357
0.000 1.934 2.357
1.934 0.000 2.357
```

Computed properties:
The volume is 70.50 Å³ per cell. As for the symmetry: P4/mmm (123). Its energy relative to the elements, uncorrected is 1.88 eV per atom.